1.
A plane-wave DFT calculation with GGA-PBE was carried out for a relaxed structure of Nd2Ga3Pt2.

Cell and atoms, written as CIF:
```
data_Nd2Ga3Pt2
_chemical_formula_sum 'Nd8 Ga12 Pt8'
_symmetry_space_group_name_H-M 'C m c m'
_symmetry_Int_Tables_number 63
_symmetry_space_group_name_Hall '-C 2c 2'
_cell_length_a 4.2206
_cell_length_b 18.7162
_cell_length_c 7.3332
_cell_angle_alpha 90.00
_cell_angle_beta 90.00
_cell_angle_gamma 90.00
loop_
_atom_site_label
_atom_site_type_symbol
_atom_site_fract_x
_atom_site_fract_y
_atom_site_fract_z
Nd1 Nd 0.0000 0.0646 0.2500
Nd2 Nd 0.0000 0.1575 0.7500
Ga1 Ga 0.0000 0.2278 0.2500
Ga2 Ga 0.0000 0.4419 0.0774
Pt1 Pt 0.0000 0.3115 0.5519
```

For the total energy, the calculation gives -147.038 eV for the cell shown. The calculation puts the relative energy among the computed polymorphs at 17 meV per atom. Its energy of formation is -6.06 eV/f.u.


2.
A plane-wave DFT calculation with GGA-PBE was carried out for a relaxed structure of Nd3Ga4Pt2.

Cell and atoms, written as CIF:
```
data_Nd3Ga4Pt2
_chemical_formula_sum 'Nd6 Ga8 Pt4'
_symmetry_space_group_name_H-M 'C 1 2/m 1'
_symmetry_Int_Tables_number 12
_cell_length_a 10.8170
_cell_length_b 4.4286
_cell_length_c 8.8319
_cell_angle_alpha 90.00
_cell_angle_beta 109.87
_cell_angle_gamma 90.00
loop_
_symmetry_equiv_pos_as_xyz
'x,y,z'
'-x,-y,-z'
'-x,y,-z'
'x,-y,z'
'x+1/2,y+1/2,z'
'-x+1/2,-y+1/2,-z'
'-x+1/2,y+1/2,-z'
'x+1/2,-y+1/2,z'
loop_
_atom_site_label
_atom_site_type_symbol
_atom_site_fract_x
_atom_site_fract_y
_atom_site_fract_z
Nd1 Nd 0.0000 0.0000 0.0000
Nd2 Nd 0.1333 0.5000 0.6866
Ga1 Ga 0.1067 0.0000 0.4202
Ga2 Ga 0.2258 0.5000 0.0638
Pt1 Pt 0.1522 0.5000 0.3080
```

For the total energy, the calculation gives -92.384 eV for the cell shown. The calculation puts the relative energy among the computed polymorphs at 48 meV per atom. Its energy of formation is -7.70 eV/f.u.


3.
A plane-wave DFT calculation with GGA-PBE was carried out for a relaxed structure of NdGa12Pt4.

Cell and atoms, written as CIF:
```
data_NdGa12Pt4
_chemical_formula_sum 'Nd2 Ga24 Pt8'
_symmetry_space_group_name_H-M 'I m -3'
_symmetry_Int_Tables_number 204
_symmetry_space_group_name_Hall '-I 2 2 3'
_cell_length_a 8.8393
_cell_length_b 8.8393
_cell_length_c 8.8393
_cell_angle_alpha 90.00
_cell_angle_beta 90.00
_cell_angle_gamma 90.00
loop_
_atom_site_label
_atom_site_type_symbol
_atom_site_fract_x
_atom_site_fract_y
_atom_site_fract_z
Nd1 Nd 0.0000 0.0000 0.0000
Ga1 Ga 0.0000 0.1541 0.3473
Pt1 Pt 0.2500 0.2500 0.2500
```

For the total energy, the calculation gives -142.956 eV for the cell shown. Its energy of formation is -6.22 eV/f.u.


4.
A plane-wave DFT calculation with GGA-PBE was carried out for a relaxed structure of NdGa12Pt6.

Cell and atoms, written as CIF:
```
data_NdGa12Pt6
_chemical_formula_sum 'Nd3 Ga36 Pt18'
_symmetry_space_group_name_H-M 'R -3 m'
_symmetry_Int_Tables_number 166
_symmetry_space_group_name_Hall '-R 3 2"'
_cell_length_a 11.4202
_cell_length_b 11.4202
_cell_length_c 8.8682
_cell_angle_alpha 90.00
_cell_angle_beta 90.00
_cell_angle_gamma 120.00
loop_
_atom_site_label
_atom_site_type_symbol
_atom_site_fract_x
_atom_site_fract_y
_atom_site_fract_z
Nd1 Nd 0.0000 0.0000 0.0000
Ga1 Ga 0.0000 0.3896 0.5000
Ga2 Ga 0.0840 0.1680 0.3122
Pt1 Pt 0.0449 0.5225 0.2382
```

For the total energy, the calculation gives -264.812 eV for the cell shown. Its energy of formation is -10.94 eV/f.u.


5.
A plane-wave DFT calculation with GGA-PBE was carried out for a relaxed structure of Nd6Ga2Pt.

Cell and atoms, written as CIF:
```
data_Nd6Ga2Pt
_chemical_formula_sum 'Nd12 Ga4 Pt2'
_symmetry_space_group_name_H-M 'P 1 21/c 1'
_symmetry_Int_Tables_number 14
_cell_length_a 6.1882
_cell_length_b 8.5776
_cell_length_c 11.5452
_cell_angle_alpha 90.00
_cell_angle_beta 119.34
_cell_angle_gamma 90.00
loop_
_symmetry_equiv_pos_as_xyz
'x,y,z'
'-x,-y,-z'
'-x,y+1/2,-z+1/2'
'x,-y+1/2,z+1/2'
loop_
_atom_site_label
_atom_site_type_symbol
_atom_site_fract_x
_atom_site_fract_y
_atom_site_fract_z
Nd1 Nd 0.0645 0.1718 0.4407
Nd2 Nd 0.3339 0.6755 0.4392
Nd3 Nd 0.3821 0.0333 0.2673
Ga1 Ga 0.1741 0.1249 0.7499
Pt1 Pt 0.0000 0.0000 0.0000
```

For the total energy, the calculation gives -89.178 eV for the cell shown. Its energy of formation is -3.89 eV/f.u.


6.
A plane-wave DFT calculation with GGA-PBE was carried out for a relaxed structure of NdGa2Pt3.

Cell and atoms, written as CIF:
```
data_NdGa2Pt3
_chemical_formula_sum 'Nd6 Ga12 Pt18'
_symmetry_space_group_name_H-M 'C 1 2/m 1'
_symmetry_Int_Tables_number 12
_cell_length_a 16.7834
_cell_length_b 4.1013
_cell_length_c 10.1045
_cell_angle_alpha 90.00
_cell_angle_beta 106.52
_cell_angle_gamma 90.00
loop_
_symmetry_equiv_pos_as_xyz
'x,y,z'
'-x,-y,-z'
'-x,y,-z'
'x,-y,z'
'x+1/2,y+1/2,z'
'-x+1/2,-y+1/2,-z'
'-x+1/2,y+1/2,-z'
'x+1/2,-y+1/2,z'
loop_
_atom_site_label
_atom_site_type_symbol
_atom_site_fract_x
_atom_site_fract_y
_atom_site_fract_z
Nd1 Nd 0.0000 0.0000 0.0000
Nd2 Nd 0.1620 0.0000 0.7042
Ga1 Ga 0.0366 0.5000 0.7754
Ga2 Ga 0.1393 0.5000 0.4531
Ga3 Ga 0.1961 0.0000 0.1244
Pt1 Pt 0.0000 0.5000 0.5000
Pt2 Pt 0.0427 0.0000 0.3363
Pt3 Pt 0.1173 0.5000 0.1939
Pt4 Pt 0.1730 0.5000 0.9543
Pt5 Pt 0.2185 0.0000 0.3895
```

For the total energy, the calculation gives -206.330 eV for the cell shown. Its energy of formation is -5.44 eV/f.u.


7.
A plane-wave DFT calculation with GGA-PBE was carried out for a relaxed structure of NdGa2Pt10.

Cell and atoms, written as CIF:
```
data_NdGa2Pt10
_chemical_formula_sum 'Nd4 Ga8 Pt40'
_symmetry_space_group_name_H-M 'F m m m'
_symmetry_Int_Tables_number 69
_symmetry_space_group_name_Hall '-F 2 2'
_cell_length_a 5.4014
_cell_length_b 12.7035
_cell_length_c 12.8209
_cell_angle_alpha 90.00
_cell_angle_beta 90.00
_cell_angle_gamma 90.00
loop_
_atom_site_label
_atom_site_type_symbol
_atom_site_fract_x
_atom_site_fract_y
_atom_site_fract_z
Nd1 Nd 0.0000 0.0000 0.0000
Ga1 Ga 0.2500 0.2500 0.0000
Pt1 Pt 0.0000 0.1129 0.3930
Pt2 Pt 0.0000 0.1756 0.1660
Pt3 Pt 0.2500 0.0000 0.2500
```

For the total energy, the calculation gives -309.343 eV for the cell shown. Its energy of formation is -6.11 eV/f.u.


8.
A plane-wave DFT calculation with GGA-PBE was carried out for a relaxed structure of Nd3GaPt3.

Cell and atoms, written as CIF:
```
data_Nd3GaPt3
_chemical_formula_sum 'Nd12 Ga4 Pt12'
_symmetry_space_group_name_H-M 'C 1 2/m 1'
_symmetry_Int_Tables_number 12
_cell_length_a 11.0568
_cell_length_b 4.1743
_cell_length_c 15.0021
_cell_angle_alpha 90.00
_cell_angle_beta 109.55
_cell_angle_gamma 90.00
loop_
_symmetry_equiv_pos_as_xyz
'x,y,z'
'-x,-y,-z'
'-x,y,-z'
'x,-y,z'
'x+1/2,y+1/2,z'
'-x+1/2,-y+1/2,-z'
'-x+1/2,y+1/2,-z'
'x+1/2,-y+1/2,z'
loop_
_atom_site_label
_atom_site_type_symbol
_atom_site_fract_x
_atom_site_fract_y
_atom_site_fract_z
Nd1 Nd 0.0227 0.0000 0.3846
Nd2 Nd 0.1052 0.0000 0.9243
Nd3 Nd 0.2392 0.0000 0.2280
Ga1 Ga 0.2331 0.5000 0.3989
Pt1 Pt 0.0263 0.5000 0.2348
Pt2 Pt 0.1232 0.5000 0.0771
Pt3 Pt 0.1367 0.5000 0.5460
```

For the total energy, the calculation gives -171.347 eV for the cell shown. Its energy of formation is -7.38 eV/f.u.


9.
A plane-wave DFT calculation with GGA-PBE was carried out for a relaxed structure of Nd3Ga4Pt7.

Cell and atoms, written as CIF:
```
data_Nd3Ga4Pt7
_chemical_formula_sum 'Nd6 Ga8 Pt14'
_symmetry_space_group_name_H-M 'C 1 2/m 1'
_symmetry_Int_Tables_number 12
_cell_length_a 16.2446
_cell_length_b 4.2742
_cell_length_c 9.4118
_cell_angle_alpha 90.00
_cell_angle_beta 124.98
_cell_angle_gamma 90.00
loop_
_symmetry_equiv_pos_as_xyz
'x,y,z'
'-x,-y,-z'
'-x,y,-z'
'x,-y,z'
'x+1/2,y+1/2,z'
'-x+1/2,-y+1/2,-z'
'-x+1/2,y+1/2,-z'
'x+1/2,-y+1/2,z'
loop_
_atom_site_label
_atom_site_type_symbol
_atom_site_fract_x
_atom_site_fract_y
_atom_site_fract_z
Nd1 Nd 0.0000 0.0000 0.0000
Nd2 Nd 0.1727 0.5000 0.6616
Ga1 Ga 0.1260 0.0000 0.8513
Ga2 Ga 0.1785 0.5000 0.3189
Pt1 Pt 0.0000 0.0000 0.5000
Pt2 Pt 0.0090 0.5000 0.7392
Pt3 Pt 0.1295 0.0000 0.3939
Pt4 Pt 0.1931 0.5000 0.0632
```

For the total energy, the calculation gives -164.580 eV for the cell shown. Its energy of formation is -13.59 eV/f.u.


10.
A plane-wave DFT calculation with GGA-PBE was carried out for a relaxed structure of NdGa9Pt2.

Cell and atoms, written as CIF:
```
data_NdGa9Pt2
_chemical_formula_sum 'Nd4 Ga36 Pt8'
_symmetry_space_group_name_H-M 'I m m a'
_symmetry_Int_Tables_number 74
_symmetry_space_group_name_Hall '-I 2b 2'
_cell_length_a 10.2959
_cell_length_b 12.7793
_cell_length_c 6.6856
_cell_angle_alpha 90.00
_cell_angle_beta 90.00
_cell_angle_gamma 90.00
loop_
_atom_site_label
_atom_site_type_symbol
_atom_site_fract_x
_atom_site_fract_y
_atom_site_fract_z
Nd1 Nd 0.0000 0.2500 0.0961
Ga1 Ga 0.0000 0.2500 0.6177
Ga2 Ga 0.1254 0.0599 0.8301
Ga3 Ga 0.1875 0.1327 0.4186
Pt1 Pt 0.0000 0.0000 0.5000
Pt2 Pt 0.2500 0.2500 0.7500
```

For the total energy, the calculation gives -194.525 eV for the cell shown. Its energy of formation is -4.54 eV/f.u.